Below is a relaxed HfAl2GeSe crystal, with properties calculated at the PBE level.

Lattice parameters (Å, degrees): 4.8331 4.8331 5.0091 90.00 90.00 90.00
Space group P4/mmm (No. 123)
Unique sites:
Hf (0.0000, 0.0000, 0.0000) [1 per cell]
Al (0.0000, 0.5000, 0.5000) [2 per cell]
Ge (0.5000, 0.5000, 0.0000) [1 per cell]
Se (0.0000, 0.0000, 0.5000) [1 per cell]

Formation energy from raw total energies (eV per atom): 0.5696
DFT total energy (eV per formula unit): -22.692

---

Below is a relaxed Hf2AlTcGe crystal, with properties calculated at the PBE level.

Lattice parameters (Å, degrees): 4.9542 4.9542 4.4014 90.00 90.00 90.00
Space group P4/mmm (No. 123)
Unique sites:
Hf (0.0000, 0.5000, 0.0000) [2 per cell]
Al (0.0000, 0.0000, 0.0000) [1 per cell]
Tc (0.5000, 0.5000, 0.5000) [1 per cell]
Ge (0.0000, 0.0000, 0.5000) [1 per cell]

Energy of formation from the pure elements (eV per atom): 1.127
DFT total energy (eV per formula unit): -32.996

---

Below is a relaxed Al3HgGe crystal, with properties calculated at the PBE level.

Lattice parameters (Å, degrees): 4.9609 4.9609 4.9609 90.00 90.00 90.00
Space group Pm-3m (No. 221)
Unique sites:
Al (0.0000, 0.0000, 0.5000) [3 per cell]
Hg (0.5000, 0.5000, 0.5000) [1 per cell]
Ge (0.0000, 0.0000, 0.0000) [1 per cell]

Energy of formation from the pure elements (eV per atom): 0.564
DFT total energy (eV per formula unit): -13.328
Polymorph energy (0 for the lowest one) (eV/atom): 0.000

---

Below is a relaxed Al3HgGe crystal, with properties calculated at the PBE level.

Lattice parameters (Å, degrees): 5.0235 5.0235 5.0235 90.00 90.00 90.00
Space group Pm-3m (No. 221)
Unique sites:
Al (0.0000, 0.0000, 0.5000) [3 per cell]
Hg (0.0000, 0.0000, 0.0000) [1 per cell]
Ge (0.5000, 0.5000, 0.5000) [1 per cell]

Energy of formation from the pure elements (eV per atom): 0.809
DFT total energy (eV per formula unit): -12.103
Polymorph energy (0 for the lowest one) (eV/atom): 0.245

---

Below is a relaxed LiAlHgGe crystal, with properties calculated at the PBE level.

Lattice parameters (Å, degrees): 6.6433 6.6433 6.6433 90.00 90.00 90.00
Space group F-43m (No. 216)
Unique sites:
Li (0.0000, 0.0000, 0.0000) [4 per cell]
Al (0.0000, 0.0000, 0.5000) [4 per cell]
Hg (0.2500, 0.2500, 0.2500) [4 per cell]
Ge (0.2500, 0.2500, 0.7500) [4 per cell]

Energy of formation from the pure elements (eV per atom): -0.094
DFT total energy (eV per formula unit): -10.951

---

Below is a relaxed LiAl2HgGe crystal, with properties calculated at the PBE level.

Lattice parameters (Å, degrees): 4.7390 4.7390 4.5805 90.00 90.00 90.00
Space group P4/mmm (No. 123)
Unique sites:
Li (0.0000, 0.0000, 0.0000) [1 per cell]
Al (0.0000, 0.5000, 0.0000) [2 per cell]
Hg (0.5000, 0.5000, 0.5000) [1 per cell]
Ge (0.0000, 0.0000, 0.5000) [1 per cell]

Energy of formation from the pure elements (eV per atom): 0.442
DFT total energy (eV per formula unit): -12.109

---

Below is a relaxed AlHgGe2Mo crystal, with properties calculated at the PBE level.

Lattice parameters (Å, degrees): 4.8700 4.8700 5.3922 90.00 90.00 90.00
Space group P4/mmm (No. 123)
Unique sites:
Al (0.0000, 0.0000, 0.0000) [1 per cell]
Hg (0.5000, 0.5000, 0.0000) [1 per cell]
Ge (0.0000, 0.5000, 0.5000) [2 per cell]
Mo (0.5000, 0.5000, 0.5000) [1 per cell]

Energy of formation from the pure elements (eV per atom): 0.567
DFT total energy (eV per formula unit): -21.277

---

Below is a relaxed AlHg2GeN crystal, with properties calculated at the PBE level.

Lattice parameters (Å, degrees): 5.2687 5.2687 4.9550 90.00 90.00 90.00
Space group P4/mmm (No. 123)
Unique sites:
Al (0.0000, 0.0000, 0.0000) [1 per cell]
Hg (0.0000, 0.5000, 0.0000) [2 per cell]
Ge (0.0000, 0.0000, 0.5000) [1 per cell]
N (0.5000, 0.5000, 0.5000) [1 per cell]

Formation energy from raw total energies (eV per atom): 1.2831
DFT total energy (eV per formula unit): -10.874
Polymorph energy (0 for the lowest one) (eV/atom): 0.575

---

Below is a relaxed AlHg2GeN crystal, with properties calculated at the PBE level.

Lattice parameters (Å, degrees): 5.6512 5.6512 3.6016 90.00 90.00 90.00
Space group P4/mmm (No. 123)
Unique sites:
Al (0.0000, 0.0000, 0.0000) [1 per cell]
Hg (0.0000, 0.5000, 0.5000) [2 per cell]
Ge (0.5000, 0.5000, 0.5000) [1 per cell]
N (0.5000, 0.5000, 0.0000) [1 per cell]

Formation energy from raw total energies (eV per atom): 0.7078
DFT total energy (eV per formula unit): -13.750
Polymorph energy (0 for the lowest one) (eV/atom): 0.000

---

Below is a relaxed Nb2AlHgGe crystal, with properties calculated at the PBE level.

Lattice parameters (Å, degrees): 4.8501 4.8501 4.7228 90.00 90.00 90.00
Space group P4/mmm (No. 123)
Unique sites:
Nb (0.0000, 0.5000, 0.0000) [2 per cell]
Al (0.0000, 0.0000, 0.0000) [1 per cell]
Hg (0.0000, 0.0000, 0.5000) [1 per cell]
Ge (0.5000, 0.5000, 0.5000) [1 per cell]

Energy of formation from the pure elements (eV per atom): 1.125
DFT total energy (eV per formula unit): -23.178

---

Below is a relaxed Al2HgGeO6 crystal, with properties calculated at the PBE level.

Lattice parameters (Å, degrees): 8.8074 11.2928 5.8273 90.00 116.64 90.00
Space group C2/c (No. 15)
Unique sites:
Al (0.1293, 0.0747, 0.1691) [8 per cell]
Hg (0.0000, 0.3934, 0.2500) [4 per cell]
Ge (0.0000, 0.2971, 0.7500) [4 per cell]
O (0.1015, 0.2238, 0.0426) [8 per cell]
O (0.1227, 0.0478, 0.4694) [8 per cell]
O (0.1273, 0.4021, 0.6729) [8 per cell]

Formation energy from raw total energies (eV per atom): -2.0074
DFT total energy (eV per formula unit): -62.228

---

Below is a relaxed Al2HgGeP crystal, with properties calculated at the PBE level.

Lattice parameters (Å, degrees): 4.8812 4.8812 5.0538 90.00 90.00 90.00
Space group P4/mmm (No. 123)
Unique sites:
Al (0.0000, 0.5000, 0.0000) [2 per cell]
Hg (0.0000, 0.0000, 0.5000) [1 per cell]
Ge (0.0000, 0.0000, 0.0000) [1 per cell]
P (0.5000, 0.5000, 0.5000) [1 per cell]

Energy of formation from the pure elements (eV per atom): 0.749
DFT total energy (eV per formula unit): -14.070

---

| no. | calculated density (g/cm3) |
| --- | --- |
| 1 | 5.45 |
| 2 | 8.53 |
| 3 | 4.82 |
| 4 | 4.64 |
| 5 | 6.96 |
| 6 | 5.39 |
| 7 | 6.09 |
| 8 | 6.21 |
| 9 | 7.43 |
| 10 | 7.26 |
| 11 | 5.43 |
| 12 | 4.94 |